# 1
Np2BiS | GGA-PBE | relaxed

## Properties
Density of states at the Fermi level (states/eV/atom): 4.587
Calculated volume (Å³ per cell): 105.5
Spin magnetization (Bohr magnetons per cell): 8.574
Raw total energy (eV per atom): -9.044
ρ (g/cm3): 11.3

```
Np2BiS
1.0
2.1199 1.2239 6.7774
-2.1199 1.2239 6.7774
0.0000 -2.4478 6.7774
Np Bi S
2 1 1
Direct
0.2343 0.2343 0.2343 Np
0.7657 0.7657 0.7657 Np
0.0000 0.0000 0.0000 Bi
0.5000 0.5000 0.5000 S
```


# 2
LiTc3Ru | GGA-PBE | relaxed

## Properties
Density of states at the Fermi level (states/eV/atom): 1.295
Calculated volume (Å³ per cell): 102.9
ΔH_f (0 K) (meV/atom): 1601
Spin magnetization (Bohr magnetons per cell): 2.533
Raw total energy (eV per atom): -6.857
Distance to the lowest polymorph of the same formula (kcal/mol of atoms): 11.39
ρ (g/cm3): 6.5

```
LiTc3Ru
1.0
4.6865 0.0000 0.0000
0.0000 4.6865 0.0000
0.0000 0.0000 4.6865
Li Tc Ru
1 3 1
Direct
0.0000 0.0000 0.0000 Li
0.0000 0.5000 0.5000 Tc
0.5000 0.0000 0.5000 Tc
0.5000 0.5000 0.0000 Tc
0.5000 0.5000 0.5000 Ru
```


# 3
MnNi3H6 | GGA-PBE | relaxed

## Properties
Density of states at the Fermi level (states/eV/atom): 0.393
Calculated volume (Å³ per cell): 141.3
Spin magnetization (Bohr magnetons per cell): 6.145
Raw total energy (eV per atom): -4.646
Distance to the lowest polymorph of the same formula (kcal/mol of atoms): 0.32
ρ (g/cm3): 5.6

```
MnNi3H6
1.0
6.6275 0.0000 0.0000
0.0000 2.5815 0.0000
-3.2665 0.0000 8.2566
Mn Ni H
2 6 12
Direct
0.2034 0.2500 0.0788 Mn
0.7966 0.7500 0.9212 Mn
0.0075 0.2500 0.7518 Ni
0.3373 0.2500 0.4070 Ni
0.3687 0.7500 0.8782 Ni
0.6313 0.2500 0.1218 Ni
0.6627 0.7500 0.5930 Ni
0.9925 0.7500 0.2482 Ni
0.0679 0.2500 0.3797 H
0.0766 0.7500 0.9155 H
0.2536 0.2500 0.7472 H
0.2613 0.7500 0.2538 H
0.3917 0.7500 0.5381 H
0.4341 0.7500 0.0930 H
0.5659 0.2500 0.9070 H
0.6083 0.2500 0.4619 H
0.7387 0.2500 0.7462 H
0.7464 0.7500 0.2528 H
0.9234 0.2500 0.0845 H
0.9321 0.7500 0.6203 H
```


What did the second record say?
LiTc3Ru | GGA-PBE | relaxed

## Properties
Density of states at the Fermi level (states/eV/atom): 1.295
Calculated volume (Å³ per cell): 102.9
ΔH_f (0 K) (meV/atom): 1601
Spin magnetization (Bohr magnetons per cell): 2.533
Raw total energy (eV per atom): -6.857
Distance to the lowest polymorph of the same formula (kcal/mol of atoms): 11.39
ρ (g/cm3): 6.5

```
LiTc3Ru
1.0
4.6865 0.0000 0.0000
0.0000 4.6865 0.0000
0.0000 0.0000 4.6865
Li Tc Ru
1 3 1
Direct
0.0000 0.0000 0.0000 Li
0.0000 0.5000 0.5000 Tc
0.5000 0.0000 0.5000 Tc
0.5000 0.5000 0.0000 Tc
0.5000 0.5000 0.5000 Ru
```


> What is the raw total energy in the second record?

-6.857 eV per atom


Copy entry 3 word for word.
MnNi3H6 | GGA-PBE | relaxed

## Properties
Density of states at the Fermi level (states/eV/atom): 0.393
Calculated volume (Å³ per cell): 141.3
Spin magnetization (Bohr magnetons per cell): 6.145
Raw total energy (eV per atom): -4.646
Distance to the lowest polymorph of the same formula (kcal/mol of atoms): 0.32
ρ (g/cm3): 5.6

```
MnNi3H6
1.0
6.6275 0.0000 0.0000
0.0000 2.5815 0.0000
-3.2665 0.0000 8.2566
Mn Ni H
2 6 12
Direct
0.2034 0.2500 0.0788 Mn
0.7966 0.7500 0.9212 Mn
0.0075 0.2500 0.7518 Ni
0.3373 0.2500 0.4070 Ni
0.3687 0.7500 0.8782 Ni
0.6313 0.2500 0.1218 Ni
0.6627 0.7500 0.5930 Ni
0.9925 0.7500 0.2482 Ni
0.0679 0.2500 0.3797 H
0.0766 0.7500 0.9155 H
0.2536 0.2500 0.7472 H
0.2613 0.7500 0.2538 H
0.3917 0.7500 0.5381 H
0.4341 0.7500 0.0930 H
0.5659 0.2500 0.9070 H
0.6083 0.2500 0.4619 H
0.7387 0.2500 0.7462 H
0.7464 0.7500 0.2528 H
0.9234 0.2500 0.0845 H
0.9321 0.7500 0.6203 H
```


> The highest calculated volume belongs to which entry?

MnNi3H6